1.
DFT (PBE-GGA) results for a relaxed K2PdC2 crystal.

```
K2PdC2
1.0
5.192 0.000 0.000
2.596 4.496 0.000
0.000 0.000 5.298
C K Pd
2 2 1
Cartesian
0.000 0.000 2.013 C
0.000 0.000 3.285 C
5.192 2.998 1.481 K
2.596 1.499 3.817 K
0.000 0.000 0.000 Pd
```

Calculated values
ΔH_f (0 K)   0.00 eV per atom

2.
DFT (PBE-GGA) results for a relaxed CaRePd2I crystal.

```
CaRePd2I
1.0
-1.032 4.890 -0.125
-4.533 -1.000 -1.707
-1.713 -0.242 4.690
Ca I Pd Re
1 1 2 1
Cartesian
-3.639 1.824 1.429 Ca
0.000 0.000 0.000 I
-0.856 -0.121 2.345 Pd
-0.516 2.445 -0.062 Pd
-2.266 -0.500 -0.853 Re
```

Calculated values
ΔE_f (raw)   903 meV per atom

3.
DFT (PBE-GGA) results for a relaxed LiZnSi2 crystal.

```
LiZnSi2
1.0
5.032 -0.079 -0.017
-2.157 4.547 -0.017
0.009 0.013 2.573
Si Li Zn
2 1 1
Cartesian
1.437 2.234 -0.017 Si
0.000 0.000 0.000 Si
-1.074 2.280 1.278 Li
2.520 -0.033 1.278 Zn
```

Calculated values
ΔE_f (raw)   63 meV per atom

| no. | mass density (kg/m³) |
| --- | --- |
| 1 | 2801 |
| 2 | 7605 |
| 3 | 3652 |